No. 1
Compound: SrU2Ni2S6
Source: Alexandria via LeMat-Bulk
Functional: PBE
Structure: optimized geometry

The structure in CIF format:
```
data_SrU2Ni2S6
_cell_length_a 6.967
_cell_length_b 6.979
_cell_length_c 7.136
_cell_angle_alpha 61.85
_cell_angle_beta 89.18
_cell_angle_gamma 60.31
_symmetry_space_group_name_H-M 'P -1'
_symmetry_Int_Tables_number 2
loop_
_symmetry_equiv_pos_as_xyz
'x,y,z'
'-x,-y,-z'
loop_
_atom_site_label
_atom_site_fract_x
_atom_site_fract_y
_atom_site_fract_z
_atom_site_occupancy
Sr1 0.000 0.000 0.000 1
U1 0.013 0.657 0.673 1
Ni1 0.433 0.869 0.664 1
S1 0.242 0.204 0.699 1
S2 0.247 0.470 0.075 1
S3 0.247 0.847 0.437 1
```

Summary:
The formation energy from raw total energies is -1240 kJ/mol of formula units. The value obtained for the total energy is -6.6766 eV/atom. Its total magnetic moment is 0.18 μB per atom. As for the crystal system: triclinic.

=====

No. 2
Compound: Ca2VHg2
Source: Alexandria via LeMat-Bulk
Functional: PBE
Structure: optimized geometry

The structure in CIF format:
```
data_Ca2VHg2
_cell_length_a 4.172
_cell_length_b 4.172
_cell_length_c 17.127
_cell_angle_alpha 90.00
_cell_angle_beta 90.00
_cell_angle_gamma 90.00
_symmetry_space_group_name_H-M 'I 4/m m m'
_symmetry_Int_Tables_number 139
_symmetry_space_group_name_Hall '-I 4 2'
loop_
_atom_site_label
_atom_site_fract_x
_atom_site_fract_y
_atom_site_fract_z
_atom_site_occupancy
Ca1 0.000 0.000 0.103 1
V1 0.000 0.000 0.500 1
Hg1 0.000 0.500 0.250 1
```

Summary:
For the formation energy, the calculation gives 0.270 eV/atom. The value obtained for the total energy is -2.4747 eV/atom. Its total magnetic moment is 0.86 μB per atom. As for the crystal system: tetragonal. Its relative energy among the computed polymorphs is 0.43 eV per formula unit.

=====

No. 3
Compound: NaHf4Se8
Source: Alexandria via LeMat-Bulk
Functional: PBE
Structure: optimized geometry

The structure in CIF format:
```
data_NaHf4Se8
_cell_length_a 7.5126
_cell_length_b 7.5126
_cell_length_c 22.2798
_cell_angle_alpha 90.00
_cell_angle_beta 90.00
_cell_angle_gamma 120.00
_symmetry_space_group_name_H-M 'R -3 m'
_symmetry_Int_Tables_number 166
_symmetry_space_group_name_Hall '-R 3 2"'
loop_
_atom_site_label
_atom_site_fract_x
_atom_site_fract_y
_atom_site_fract_z
_atom_site_occupancy
Na1 0.0000 0.0000 0.0000 1
Hf1 0.0000 0.0000 0.5000 1
Hf2 0.0000 0.5000 0.5000 1
Se1 0.0000 0.0000 0.2378 1
Se2 0.0022 0.5011 0.2384 1
```

Summary:
The formation energy from raw total energies is -1706 kJ/mol of formula units. The value obtained for the total energy is -6.6681 eV/atom. Its total magnetic moment is 0.00 μB per atom. As for the crystal system: trigonal. Its relative energy among the computed polymorphs is 0.00 eV per formula unit.